# 1
Below is a geometry-optimized CePd12 structure, with properties calculated at the PBE level. Values from VASP.

* DOS(E_F): 21.525 states/eV per cell
* spin magnetization: 0.1 μB per cell
* ΔH_f (0 K): -0.210 eV per atom

```
&SYSTEM
  ibrav = 0, nat = 13, ntyp = 2
/
ATOMIC_SPECIES
Ce 140.12 Ce.upf
Pd 106.42 Pd.upf
ATOMIC_POSITIONS angstrom
Ce 0.000 0.000 0.000
Pd 2.279 2.279 -1.317
Pd 3.185 0.000 0.000
Pd 2.279 -2.279 1.317
Pd 5.931 0.000 0.000
Pd 4.558 2.589 0.000
Pd 0.000 3.185 0.000
Pd -2.279 2.279 1.317
Pd 2.589 4.558 0.000
Pd 2.279 2.279 1.317
Pd 1.969 0.000 2.635
Pd 0.000 5.931 0.000
Pd 0.000 1.969 2.635
CELL_PARAMETERS angstrom
-4.558 4.558 2.635
4.558 -4.558 2.635
4.558 4.558 -2.635
```



# 2
Below is a geometry-optimized Sr4Zn3Ga structure, with properties calculated at the PBE level. Values from VASP.

* DOS(E_F): 6.778 states/eV per cell
* spin magnetization: 0.0 μB per cell
* ΔH_f (0 K): -0.246 eV per atom

```
&SYSTEM
  ibrav = 0, nat = 8, ntyp = 3
/
ATOMIC_SPECIES
Sr 87.62 Sr.upf
Zn 65.41 Zn.upf
Ga 69.72 Ga.upf
ATOMIC_POSITIONS angstrom
Sr 0.000 0.000 0.000
Sr 0.000 2.428 5.662
Sr 2.286 0.000 8.109
Sr 2.286 2.428 2.419
Zn 0.000 2.428 9.135
Zn 2.286 0.000 4.649
Zn 2.286 2.428 10.403
Ga 0.000 0.000 3.413
CELL_PARAMETERS angstrom
4.572 0.000 0.000
0.000 4.856 0.000
0.000 0.000 11.445
```



# 3
Below is a geometry-optimized Ga3ReHg structure, with properties calculated at the PBE level. Values from VASP.

* DOS(E_F): 2.973 states/eV per cell
* spin magnetization: 0.0 μB per cell
* ΔH_f (0 K): 0.274 eV per atom

```
&SYSTEM
  ibrav = 0, nat = 5, ntyp = 3
/
ATOMIC_SPECIES
Ga 69.72 Ga.upf
Re 186.21 Re.upf
Hg 200.59 Hg.upf
ATOMIC_POSITIONS angstrom
Ga 0.000 0.000 2.458
Ga 0.000 2.458 0.000
Ga 2.458 0.000 0.000
Re 0.000 0.000 0.000
Hg 2.458 2.458 2.458
CELL_PARAMETERS angstrom
4.917 0.000 0.000
0.000 4.917 0.000
0.000 0.000 4.917
```



# 4
Below is a geometry-optimized Tl2AgTe2 structure, with properties calculated at the PBE level. Values from VASP.

* DOS(E_F): 3.983 states/eV per cell
* spin magnetization: 0.0 μB per cell
* formation energy from raw total energies: 53 kJ/mol of formula units

```
&SYSTEM
  ibrav = 0, nat = 10, ntyp = 3
/
ATOMIC_SPECIES
Tl 204.38 Tl.upf
Ag 107.87 Ag.upf
Te 127.60 Te.upf
ATOMIC_POSITIONS angstrom
Tl 0.000 0.000 1.623
Tl 0.000 0.000 15.974
Tl 2.177 2.177 7.176
Tl 2.177 2.177 10.421
Ag 0.000 0.000 8.799
Ag 2.177 2.177 0.000
Te 0.000 2.177 4.399
Te 0.000 2.177 13.198
Te 2.177 0.000 4.399
Te 2.177 0.000 13.198
CELL_PARAMETERS angstrom
4.355 0.000 0.000
0.000 4.355 0.000
0.000 0.000 17.597
```



# 5
Below is a geometry-optimized MnTlInCl6 structure, with properties calculated at the PBE level. Values from VASP.

* DOS(E_F): 12.945 states/eV per cell
* spin magnetization: 1.9 μB per cell
* formation energy from raw total energies: -771 kJ/mol of formula units

```
&SYSTEM
  ibrav = 0, nat = 18, ntyp = 4
/
ATOMIC_SPECIES
Mn 54.94 Mn.upf
Tl 204.38 Tl.upf
In 114.82 In.upf
Cl 35.45 Cl.upf
ATOMIC_POSITIONS angstrom
Mn 0.000 3.792 3.477
Mn 3.284 1.896 10.432
Tl 0.000 0.000 0.000
Tl 0.000 0.000 6.955
In 0.000 3.792 10.432
In 3.284 1.896 3.477
Cl -1.038 2.204 2.129
Cl -1.895 3.688 4.826
Cl 1.038 2.204 4.826
Cl -0.857 5.486 2.129
Cl 2.428 0.203 9.083
Cl 1.390 2.001 11.780
Cl 1.895 3.688 2.129
Cl 0.857 5.486 4.826
Cl 4.141 0.203 11.780
Cl 2.246 3.485 9.083
Cl 5.179 2.001 9.083
Cl 4.322 3.485 11.780
CELL_PARAMETERS angstrom
6.569 0.000 0.000
-3.284 5.689 0.000
0.000 0.000 13.909
```



# 6
Below is a geometry-optimized Sm3Ho2In3 structure, with properties calculated at the PBE level. Values from VASP.

* DOS(E_F): 14.482 states/eV per cell
* spin magnetization: 0.0 μB per cell
* ΔH_f (0 K): -0.368 eV per atom

```
&SYSTEM
  ibrav = 0, nat = 16, ntyp = 3
/
ATOMIC_SPECIES
Sm 150.36 Sm.upf
Ho 164.93 Ho.upf
In 114.82 In.upf
ATOMIC_POSITIONS angstrom
Sm 0.000 0.000 0.000
Sm 0.000 2.706 2.809
Sm 0.000 2.706 19.761
Sm 1.902 0.000 8.476
Sm 1.902 0.000 14.094
Sm 1.902 2.706 11.285
Ho 0.000 0.000 5.300
Ho 0.000 0.000 17.271
Ho 1.902 2.706 5.985
Ho 1.902 2.706 16.585
In 0.000 0.000 11.285
In 0.000 2.706 8.550
In 0.000 2.706 14.020
In 1.902 0.000 2.735
In 1.902 0.000 19.835
In 1.902 2.706 0.000
CELL_PARAMETERS angstrom
3.804 0.000 0.000
0.000 5.412 0.000
0.000 0.000 22.570
```



# 7
Below is a geometry-optimized LaHgIN2 structure, with properties calculated at the PBE level. Values from VASP.

* DOS(E_F): 3.379 states/eV per cell
* spin magnetization: 0.6 μB per cell
* formation energy from raw total energies: 276 kJ/mol of formula units

```
&SYSTEM
  ibrav = 0, nat = 5, ntyp = 4
/
ATOMIC_SPECIES
La 138.91 La.upf
Hg 200.59 Hg.upf
I 126.90 I.upf
N 14.01 N.upf
ATOMIC_POSITIONS angstrom
La 0.000 0.000 0.000
Hg 2.207 2.207 3.515
I 0.000 0.000 3.515
N 0.000 2.207 0.000
N 2.207 0.000 0.000
CELL_PARAMETERS angstrom
4.414 0.000 0.000
0.000 4.414 0.000
0.000 0.000 7.030
```



# 8
Below is a geometry-optimized PmAl2Ag structure, with properties calculated at the PBE level. Values from VASP.

* DOS(E_F): 7.324 states/eV per cell
* spin magnetization: 0.0 μB per cell
* ΔH_f (0 K): -0.324 eV per atom

```
&SYSTEM
  ibrav = 0, nat = 12, ntyp = 3
/
ATOMIC_SPECIES
Pm 145.00 Pm.upf
Al 26.98 Al.upf
Ag 107.87 Ag.upf
ATOMIC_POSITIONS angstrom
Pm 0.000 0.000 0.000
Pm 0.000 2.540 10.560
Pm 2.199 1.270 5.280
Al 0.000 0.000 3.354
Al 0.000 0.000 12.486
Al 0.000 2.540 7.206
Al 0.000 2.540 13.914
Al 2.199 1.270 1.926
Al 2.199 1.270 8.634
Ag 0.000 0.000 7.920
Ag 0.000 2.540 2.640
Ag 2.199 1.270 13.200
CELL_PARAMETERS angstrom
4.399 0.000 0.000
-2.199 3.810 0.000
0.000 0.000 15.840
```